Below is an optimized crystal structure of YTcClO4, with properties calculated at the PBE-GGA level.

Computed properties:
- Uncorrected formation energy: -2.0586 eV/atom
- DOS at the Fermi energy: 0.359 states/eV per atom

abc: 6.3016 6.3016 6.8914
angles: 77.74 77.74 69.28
Fractional positions:
Y1 0.2178 0.2178 0.9009
Y2 0.7822 0.7822 0.0991
Tc1 0.6342 0.6342 0.7176
Tc2 0.3658 0.3658 0.2824
Cl1 0.0101 0.0101 0.2339
Cl2 0.9899 0.9899 0.7661
O1 0.2828 0.2828 0.5371
O2 0.7172 0.7172 0.4629
O3 0.1184 0.4831 0.1455
O4 0.5402 0.5402 0.2149
O5 0.5169 0.8816 0.8545
O6 0.4831 0.1184 0.1455
O7 0.4598 0.4598 0.7851
O8 0.8816 0.5169 0.8545